# 1
Dy2HoH: optimized geometry, PBE.

a b c (Å): 3.3412 3.3412 8.4178
angles (deg): 90.00 90.00 90.00
Atoms (fractional coordinates):
Dy  0.0000  0.0000  0.1926
Dy  0.0000  0.0000  0.8074
Ho  0.5000  0.5000  0.5000
H  0.5000  0.5000  0.0000

Summary:
Energy relative to the lowest polymorph listed for this composition, kJ/mol of atoms: 28.63
Fermi-level density of states, states/eV/cell: 3.938
Space group: P4/mmm, No. 123
Raw total energy, eV/atom: -4.174
Magnetization, μB/cell: 0.0

# 2
Dy2HoH: optimized geometry, PBE.

a b c (Å): 3.5862 3.5862 25.3206
angles (deg): 90.00 90.00 120.00
Atoms (fractional coordinates):
Dy  0.0000  0.0000  0.2210
Dy  0.0000  0.0000  0.7790
Dy  0.3333  0.6667  0.4457
Dy  0.3333  0.6667  0.8876
Dy  0.6667  0.3333  0.1124
Dy  0.6667  0.3333  0.5543
Ho  0.0000  0.0000  0.0000
Ho  0.3333  0.6667  0.6667
Ho  0.6667  0.3333  0.3333
H  0.0000  0.0000  0.5000
H  0.3333  0.6667  0.1667
H  0.6667  0.3333  0.8333

Summary:
Energy relative to the lowest polymorph listed for this composition, kJ/mol of atoms: 0.00
Fermi-level density of states, states/eV/cell: 8.300
Space group: R-3m, No. 166
Raw total energy, eV/atom: -4.471
Magnetization, μB/cell: 0.0

# 3
DyHoH2: optimized geometry, PBE.

a b c (Å): 3.4817 3.4817 17.4662
angles (deg): 90.00 90.00 120.00
Atoms (fractional coordinates):
Dy  0.0000  0.0000  0.0000
Dy  0.3333  0.6667  0.6667
Dy  0.6667  0.3333  0.3333
Ho  0.0000  0.0000  0.1802
Ho  0.3333  0.6667  0.8468
Ho  0.6667  0.3333  0.5135
H  0.0000  0.0000  0.4148
H  0.0000  0.0000  0.5914
H  0.3333  0.6667  0.0815
H  0.3333  0.6667  0.2580
H  0.6667  0.3333  0.7481
H  0.6667  0.3333  0.9247

Summary:
Energy relative to the lowest polymorph listed for this composition, kJ/mol of atoms: 7.06
Fermi-level density of states, states/eV/cell: 4.364
Space group: R3m, No. 160
Raw total energy, eV/atom: -4.260
Magnetization, μB/cell: 0.0

# 4
DyHoH: optimized geometry, PBE.

a b c (Å): 3.4451 25.4349 3.4671
angles (deg): 90.00 90.00 90.00
Atoms (fractional coordinates):
Dy  0.0000  0.2014  0.2500
Dy  0.0000  0.7986  0.7500
Dy  0.5000  0.2986  0.7500
Dy  0.5000  0.7014  0.2500
Ho  0.0000  0.0842  0.7500
Ho  0.0000  0.9158  0.2500
Ho  0.5000  0.4158  0.2500
Ho  0.5000  0.5842  0.7500
H  0.0000  0.4614  0.2500
H  0.0000  0.5386  0.7500
H  0.5000  0.0386  0.7500
H  0.5000  0.9614  0.2500

Summary:
Energy relative to the lowest polymorph listed for this composition, kJ/mol of atoms: 40.66
Fermi-level density of states, states/eV/cell: 11.491
Space group: Cmcm, No. 63
Raw total energy, eV/atom: -4.000
Magnetization, μB/cell: 0.0

# 5
Dy3HoH8: optimized geometry, PBE.

a b c (Å): 5.1686 5.1686 5.1686
angles (deg): 90.00 90.00 90.00
Atoms (fractional coordinates):
Dy  0.0000  0.0000  0.5000
Dy  0.0000  0.5000  0.0000
Dy  0.5000  0.0000  0.0000
Ho  0.5000  0.5000  0.5000
H  0.2510  0.2510  0.2510
H  0.2510  0.2510  0.7490
H  0.2510  0.7490  0.2510
H  0.2510  0.7490  0.7490
H  0.7490  0.2510  0.2510
H  0.7490  0.2510  0.7490
H  0.7490  0.7490  0.2510
H  0.7490  0.7490  0.7490

Summary:
Fermi-level density of states, states/eV/cell: 2.497
Space group: Pm-3m, No. 221
Raw total energy, eV/atom: -4.487
Magnetization, μB/cell: 0.0

# 6
DyHoH2: optimized geometry, PBE.

a b c (Å): 3.4692 3.4692 16.9112
angles (deg): 90.00 90.00 120.00
Atoms (fractional coordinates):
Dy  0.0000  0.0000  0.0000
Dy  0.3333  0.6667  0.6667
Dy  0.6667  0.3333  0.3333
Ho  0.0000  0.0000  0.5000
Ho  0.3333  0.6667  0.1667
Ho  0.6667  0.3333  0.8333
H  0.0000  0.0000  0.2492
H  0.0000  0.0000  0.7508
H  0.3333  0.6667  0.4174
H  0.3333  0.6667  0.9159
H  0.6667  0.3333  0.0841
H  0.6667  0.3333  0.5826

Summary:
Energy relative to the lowest polymorph listed for this composition, kJ/mol of atoms: 0.00
Fermi-level density of states, states/eV/cell: 7.741
Space group: R-3m, No. 166
Raw total energy, eV/atom: -4.333
Magnetization, μB/cell: 0.0

# 7
Dy2Ho4H: optimized geometry, PBE.

a b c (Å): 4.8075 4.8075 16.9918
angles (deg): 90.00 90.00 90.00
Atoms (fractional coordinates):
Dy  0.0000  0.0000  0.1481
Dy  0.0000  0.0000  0.8519
Dy  0.5000  0.5000  0.3519
Dy  0.5000  0.5000  0.6481
Ho  0.0000  0.0000  0.3512
Ho  0.0000  0.0000  0.6488
Ho  0.0000  0.5000  0.0000
Ho  0.0000  0.5000  0.5000
Ho  0.5000  0.0000  0.0000
Ho  0.5000  0.0000  0.5000
Ho  0.5000  0.5000  0.1488
Ho  0.5000  0.5000  0.8512
H  0.0000  0.0000  0.5000
H  0.5000  0.5000  0.0000

Summary:
Fermi-level density of states, states/eV/cell: 12.343
Space group: I4/mmm, No. 139
Raw total energy, eV/atom: -4.342
Magnetization, μB/cell: 0.0

# 8
DyHoH: optimized geometry, PBE.

a b c (Å): 3.3369 3.3369 12.0183
angles (deg): 90.00 90.00 90.00
Atoms (fractional coordinates):
Dy  0.0000  0.0000  0.0000
Dy  0.5000  0.5000  0.5000
Ho  0.0000  0.0000  0.7090
Ho  0.5000  0.5000  0.2090
H  0.0000  0.0000  0.1843
H  0.5000  0.5000  0.6843

Summary:
Energy relative to the lowest polymorph listed for this composition, kJ/mol of atoms: 12.20
Fermi-level density of states, states/eV/cell: 6.087
Space group: I4mm, No. 107
Raw total energy, eV/atom: -4.295
Magnetization, μB/cell: 0.0

# 9
Dy3Ho5H12: optimized geometry, PBE.

a b c (Å): 11.2540 11.2540 11.2540
angles (deg): 109.47 109.47 109.47
Atoms (fractional coordinates):
Dy  0.1250  0.2500  0.3750
Dy  0.1250  0.3750  0.7500
Dy  0.2500  0.3750  0.1250
Dy  0.2500  0.8750  0.6250
Dy  0.3750  0.1250  0.2500
Dy  0.3750  0.7500  0.1250
Dy  0.6250  0.2500  0.8750
Dy  0.6250  0.8750  0.7500
Dy  0.7500  0.1250  0.3750
Dy  0.7500  0.6250  0.8750
Dy  0.8750  0.6250  0.2500
Dy  0.8750  0.7500  0.6250
Ho  0.0000  0.0000  0.0000
Ho  0.0000  0.0000  0.5000
Ho  0.0000  0.5000  0.0000
Ho  0.0000  0.5000  0.5000
Ho  0.1250  0.7500  0.8750
Ho  0.1250  0.8750  0.2500
Ho  0.2500  0.1250  0.8750
Ho  0.2500  0.6250  0.3750
Ho  0.3750  0.2500  0.6250
Ho  0.3750  0.6250  0.7500
Ho  0.5000  0.0000  0.0000
Ho  0.5000  0.0000  0.5000
Ho  0.5000  0.5000  0.0000
Ho  0.5000  0.5000  0.5000
Ho  0.6250  0.3750  0.2500
Ho  0.6250  0.7500  0.3750
Ho  0.7500  0.3750  0.6250
Ho  0.7500  0.8750  0.1250
Ho  0.8750  0.1250  0.7500
Ho  0.8750  0.2500  0.1250
H  0.0649  0.2228  0.1536
H  0.0649  0.3421  0.9113
H  0.0692  0.7228  0.6579
H  0.0692  0.8464  0.4113
H  0.0887  0.6536  0.4308
H  0.0887  0.9351  0.6579
H  0.1536  0.0649  0.2228
H  0.1536  0.5887  0.9308
H  0.1579  0.2228  0.5692
H  0.1579  0.4351  0.5887
H  0.2228  0.1536  0.0649
H  0.2228  0.5692  0.1579
H  0.2772  0.3421  0.9308
H  0.2772  0.4351  0.3464
H  0.3421  0.9113  0.0649
H  0.3421  0.9308  0.2772
H  0.3464  0.2772  0.4351
H  0.3464  0.5692  0.9113
H  0.4113  0.0692  0.8464
H  0.4113  0.8421  0.5649
H  0.4308  0.0887  0.6536
H  0.4308  0.8421  0.7772
H  0.4351  0.3464  0.2772
H  0.4351  0.5887  0.1579
H  0.5649  0.4113  0.8421
H  0.5649  0.6536  0.7228
H  0.5692  0.1579  0.2228
H  0.5692  0.9113  0.3464
H  0.5887  0.1579  0.4351
H  0.5887  0.9308  0.1536
H  0.6536  0.4308  0.0887
H  0.6536  0.7228  0.5649
H  0.6579  0.0692  0.7228
H  0.6579  0.0887  0.9351
H  0.7228  0.5649  0.6536
H  0.7228  0.6579  0.0692
H  0.7772  0.4308  0.8421
H  0.7772  0.8464  0.9351
H  0.8421  0.5649  0.4113
H  0.8421  0.7772  0.4308
H  0.8464  0.4113  0.0692
H  0.8464  0.9351  0.7772
H  0.9113  0.0649  0.3421
H  0.9113  0.3464  0.5692
H  0.9308  0.1536  0.5887
H  0.9308  0.2772  0.3421
H  0.9351  0.6579  0.0887
H  0.9351  0.7772  0.8464

Summary:
Fermi-level density of states, states/eV/cell: 43.091
Space group: Ia-3d, No. 230
Raw total energy, eV/atom: -4.317
Magnetization, μB/cell: 0.0

# 10
Dy4Ho2Tl3H2: optimized geometry, PBE.

a b c (Å): 12.6854 12.6854 12.6854
angles (deg): 158.52 158.52 30.56
Atoms (fractional coordinates):
Dy  0.0848  0.5848  0.5000
Dy  0.4152  0.9152  0.5000
Dy  0.5848  0.0848  0.5000
Dy  0.9152  0.4152  0.5000
Ho  0.1977  0.1977  0.0000
Ho  0.8023  0.8023  0.0000
Tl  0.3253  0.3253  0.0000
Tl  0.5000  0.5000  0.0000
Tl  0.6747  0.6747  0.0000
H  0.1027  0.1027  0.0000
H  0.8973  0.8973  0.0000

Summary:
Fermi-level density of states, states/eV/cell: 8.383
Space group: I4/mmm, No. 139
Raw total energy, eV/atom: -4.031
Magnetization, μB/cell: 0.0

# 11
Dy2HI3: optimized geometry, PBE.

a b c (Å): 9.9043 9.9043 12.1616
angles (deg): 122.70 122.70 23.23
Atoms (fractional coordinates):
Dy  0.0679  0.0679  0.4657
Dy  0.3678  0.3678  0.2162
Dy  0.6322  0.6322  0.7838
Dy  0.9321  0.9321  0.5343
H  0.0756  0.0756  0.6615
H  0.9244  0.9244  0.3385
I  0.1662  0.1662  0.0061
I  0.2877  0.2877  0.3776
I  0.4625  0.4625  0.7523
I  0.5375  0.5375  0.2477
I  0.7123  0.7123  0.6224
I  0.8338  0.8338  0.9939

Summary:
Fermi-level density of states, states/eV/cell: 5.486
Space group: C2/m, No. 12
Raw total energy, eV/atom: -3.903
Magnetization, μB/cell: 1.7

# 12
DyH2I2: optimized geometry, PBE.

a b c (Å): 6.7325 6.7325 8.3008
angles (deg): 98.87 98.87 103.85
Atoms (fractional coordinates):
Dy  0.1737  0.8263  0.0000
Dy  0.8263  0.1737  0.0000
H  0.0574  0.0574  0.9086
H  0.1034  0.1034  0.0911
H  0.8966  0.8966  0.9089
H  0.9426  0.9426  0.0914
I  0.0684  0.5637  0.2583
I  0.4363  0.9316  0.7417
I  0.5637  0.0684  0.2583
I  0.9316  0.4363  0.7417

Summary:
Fermi-level density of states, states/eV/cell: 0.000
Space group: C2/m, No. 12
Raw total energy, eV/atom: -3.591
Magnetization, μB/cell: 0.0

Repeat the first record exactly.
Dy2HoH: optimized geometry, PBE.

a b c (Å): 3.3412 3.3412 8.4178
angles (deg): 90.00 90.00 90.00
Atoms (fractional coordinates):
Dy  0.0000  0.0000  0.1926
Dy  0.0000  0.0000  0.8074
Ho  0.5000  0.5000  0.5000
H  0.5000  0.5000  0.0000

Summary:
Energy relative to the lowest polymorph listed for this composition, kJ/mol of atoms: 28.63
Fermi-level density of states, states/eV/cell: 3.938
Space group: P4/mmm, No. 123
Raw total energy, eV/atom: -4.174
Magnetization, μB/cell: 0.0

What did the second record say?
Dy2HoH: optimized geometry, PBE.

a b c (Å): 3.5862 3.5862 25.3206
angles (deg): 90.00 90.00 120.00
Atoms (fractional coordinates):
Dy  0.0000  0.0000  0.2210
Dy  0.0000  0.0000  0.7790
Dy  0.3333  0.6667  0.4457
Dy  0.3333  0.6667  0.8876
Dy  0.6667  0.3333  0.1124
Dy  0.6667  0.3333  0.5543
Ho  0.0000  0.0000  0.0000
Ho  0.3333  0.6667  0.6667
Ho  0.6667  0.3333  0.3333
H  0.0000  0.0000  0.5000
H  0.3333  0.6667  0.1667
H  0.6667  0.3333  0.8333

Summary:
Energy relative to the lowest polymorph listed for this composition, kJ/mol of atoms: 0.00
Fermi-level density of states, states/eV/cell: 8.300
Space group: R-3m, No. 166
Raw total energy, eV/atom: -4.471
Magnetization, μB/cell: 0.0

What is the Fermi-level density of states in the twelfth record? 0.000 states/eV/cell

Which value of raw total energy does entry 9 give? -4.317 eV/atom